! CdTeOs4 (GGA-PBE, optimized geometry); values from VASP
&SYSTEM
  ibrav = 0, nat = 6, ntyp = 3
/
ATOMIC_SPECIES
Cd 112.41 Cd.upf
Te 127.60 Te.upf
Os 190.23 Os.upf
CELL_PARAMETERS angstrom
0.000 3.753 3.753
3.753 0.000 3.753
3.753 3.753 0.000
ATOMIC_POSITIONS crystal
Cd 0.000 0.000 0.000
Te 0.250 0.250 0.250
Os 0.125 0.625 0.625
Os 0.625 0.125 0.625
Os 0.625 0.625 0.125
Os 0.625 0.625 0.625
! formation energy without anion corrections: 0.92 eV per atom
! DOS(E_F): 1.710 states/eV per atom
! SG: F-43m
! size of the total moment: 0.0021 μB per atom
! calculated total energy: -43.45 eV per cell

---

! CdTe2Os (GGA-PBE, optimized geometry); values from VASP
&SYSTEM
  ibrav = 0, nat = 4, ntyp = 3
/
ATOMIC_SPECIES
Cd 112.41 Cd.upf
Te 127.60 Te.upf
Os 190.23 Os.upf
CELL_PARAMETERS angstrom
2.039 1.178 8.264
-2.039 1.178 8.264
0.000 -2.355 8.264
ATOMIC_POSITIONS crystal
Cd 0.000 0.000 0.000
Te 0.115 0.115 0.115
Te 0.885 0.885 0.885
Os 0.500 0.500 0.500
! formation energy without anion corrections: 0.20 eV per atom
! DOS(E_F): 0.331 states/eV per atom
! SG: R-3m
! size of the total moment: 0.0000 μB per atom
! calculated total energy: -17.63 eV per cell

---

! CdTe2Os (GGA-PBE, optimized geometry); values from VASP
&SYSTEM
  ibrav = 0, nat = 4, ntyp = 3
/
ATOMIC_SPECIES
Cd 112.41 Cd.upf
Te 127.60 Te.upf
Os 190.23 Os.upf
CELL_PARAMETERS angstrom
2.675 -5.257 0.000
2.675 5.257 0.000
0.000 0.000 4.000
ATOMIC_POSITIONS crystal
Cd 0.000 0.000 0.000
Te 0.338 0.662 0.500
Te 0.662 0.338 0.500
Os 0.500 0.500 0.000
! formation energy without anion corrections: 0.21 eV per atom
! DOS(E_F): 0.689 states/eV per atom
! SG: Cmmm
! size of the total moment: 0.0000 μB per atom
! calculated total energy: -17.60 eV per cell

---

! CdTe2Os (GGA-PBE, optimized geometry); values from VASP
&SYSTEM
  ibrav = 0, nat = 4, ntyp = 3
/
ATOMIC_SPECIES
Cd 112.41 Cd.upf
Te 127.60 Te.upf
Os 190.23 Os.upf
CELL_PARAMETERS angstrom
0.000 3.535 3.535
3.535 0.000 3.535
3.535 3.535 0.000
ATOMIC_POSITIONS crystal
Cd 0.000 0.000 0.000
Te 0.250 0.250 0.250
Te 0.500 0.500 0.500
Os 0.750 0.750 0.750
! formation energy without anion corrections: 1.00 eV per atom
! DOS(E_F): 1.123 states/eV per atom
! SG: F-43m
! size of the total moment: 0.0000 μB per atom
! calculated total energy: -14.42 eV per cell

---

! CdTeOs2 (GGA-PBE, optimized geometry); values from VASP
&SYSTEM
  ibrav = 0, nat = 4, ntyp = 3
/
ATOMIC_SPECIES
Cd 112.41 Cd.upf
Te 127.60 Te.upf
Os 190.23 Os.upf
CELL_PARAMETERS angstrom
2.865 0.000 0.000
0.000 3.547 0.000
-0.009 0.000 8.001
ATOMIC_POSITIONS crystal
Cd 0.000 0.000 0.000
Te 0.999 0.500 0.343
Os 0.500 0.500 0.761
Os 0.999 0.000 0.609
! formation energy without anion corrections: 0.44 eV per atom
! DOS(E_F): 0.747 states/eV per atom
! SG: Pm
! size of the total moment: 0.0000 μB per atom
! calculated total energy: -24.77 eV per cell

---

! CdTeOs2 (GGA-PBE, optimized geometry); values from VASP
&SYSTEM
  ibrav = 0, nat = 4, ntyp = 3
/
ATOMIC_SPECIES
Cd 112.41 Cd.upf
Te 127.60 Te.upf
Os 190.23 Os.upf
CELL_PARAMETERS angstrom
-2.087 2.087 4.080
2.087 -2.087 4.080
2.087 2.087 -4.080
ATOMIC_POSITIONS crystal
Cd 0.000 0.000 0.000
Te 0.750 0.250 0.500
Os 0.250 0.750 0.500
Os 0.500 0.500 0.000
! formation energy without anion corrections: 1.04 eV per atom
! DOS(E_F): 1.460 states/eV per atom
! SG: I-4m2
! size of the total moment: 0.0014 μB per atom
! calculated total energy: -22.35 eV per cell

---

! CdTe2Os (GGA-PBE, optimized geometry); values from VASP
&SYSTEM
  ibrav = 0, nat = 4, ntyp = 3
/
ATOMIC_SPECIES
Cd 112.41 Cd.upf
Te 127.60 Te.upf
Os 190.23 Os.upf
CELL_PARAMETERS angstrom
3.170 0.000 0.000
0.000 3.170 0.000
0.000 0.000 9.606
ATOMIC_POSITIONS crystal
Cd 0.000 0.000 0.000
Te 0.000 0.000 0.360
Te 0.500 0.500 0.716
Os 0.500 0.500 0.204
! formation energy without anion corrections: 0.25 eV per atom
! DOS(E_F): 0.290 states/eV per atom
! SG: P4mm
! size of the total moment: 0.0000 μB per atom
! calculated total energy: -17.41 eV per cell

---

! CdTeOs2 (GGA-PBE, optimized geometry); values from VASP
&SYSTEM
  ibrav = 0, nat = 4, ntyp = 3
/
ATOMIC_SPECIES
Cd 112.41 Cd.upf
Te 127.60 Te.upf
Os 190.23 Os.upf
CELL_PARAMETERS angstrom
1.544 0.891 8.633
-1.544 0.891 8.633
0.000 -1.782 8.633
ATOMIC_POSITIONS crystal
Cd 0.000 0.000 0.000
Te 0.500 0.500 0.500
Os 0.244 0.244 0.244
Os 0.756 0.756 0.756
! formation energy without anion corrections: 0.85 eV per atom
! DOS(E_F): 1.286 states/eV per atom
! SG: R-3m
! size of the total moment: 0.0016 μB per atom
! calculated total energy: -23.10 eV per cell